No. 1
Y4Zr2Ni3N3 | PBE | relaxed

CIF file:
```
data_Y4Zr2Ni3N3
_space_group_name_H-M_alt 'C 1 2/c 1'
_space_group_IT_number 15
_cell_length_a 10.5504
_cell_length_b 5.7761
_cell_length_c 13.8591
_cell_angle_alpha 90.00
_cell_angle_beta 104.54
_cell_angle_gamma 90.00
loop_
_space_group_symop_operation_xyz
'x,y,z'
'-x,-y,-z'
'-x,y,-z+1/2'
'x,-y,z+1/2'
'x+1/2,y+1/2,z'
'-x+1/2,-y+1/2,-z'
'-x+1/2,y+1/2,-z+1/2'
'x+1/2,-y+1/2,z+1/2'
loop_
_atom_site_label
_atom_site_type_symbol
_atom_site_fract_x
_atom_site_fract_y
_atom_site_fract_z
Y1 Y 0.1214 0.0716 0.1073
Y2 Y 0.2154 0.0800 0.3919
Zr1 Zr 0.0567 0.4167 0.9112
Ni1 Ni 0.0000 0.1492 0.2500
Ni2 Ni 0.1304 0.4908 0.2497
N1 N 0.0785 0.2645 0.5016
N2 N 0.2500 0.2500 0.0000
```

Output
E_tot	-7.86	eV per atom



No. 2
RbNiTe3Ir | PBE | relaxed

CIF file:
```
data_RbNiTe3Ir
_space_group_name_H-M_alt 'C m c m'
_space_group_IT_number 63
_space_group_name_Hall '-C 2c 2'
_cell_length_a 4.0106
_cell_length_b 16.3554
_cell_length_c 10.4720
_cell_angle_alpha 90.00
_cell_angle_beta 90.00
_cell_angle_gamma 90.00
loop_
_atom_site_label
_atom_site_type_symbol
_atom_site_fract_x
_atom_site_fract_y
_atom_site_fract_z
Rb1 Rb 0.0000 0.2433 0.2500
Ni1 Ni 0.0000 0.4680 0.7500
Te1 Te 0.0000 0.0613 0.7500
Te2 Te 0.0000 0.3938 0.5425
Ir1 Ir 0.0000 0.0000 0.0000
```

Output
E_tot	-4.45	eV per atom



No. 3
Cd6AgAu | PBE | relaxed

CIF file:
```
data_Cd6AgAu
_space_group_name_H-M_alt 'P -6 m 2'
_space_group_IT_number 187
_space_group_name_Hall 'P -6 2'
_cell_length_a 6.2258
_cell_length_b 6.2258
_cell_length_c 4.8436
_cell_angle_alpha 90.00
_cell_angle_beta 90.00
_cell_angle_gamma 120.00
loop_
_atom_site_label
_atom_site_type_symbol
_atom_site_fract_x
_atom_site_fract_y
_atom_site_fract_z
Cd1 Cd 0.0050 0.5025 0.0000
Cd2 Cd 0.3263 0.1632 0.5000
Ag1 Ag 0.0000 0.0000 0.0000
Au1 Au 0.3333 0.6667 0.5000
```

Output
formation energy	-0.73	eV per formula unit



No. 4
Y2AlMoC6 | PBE | relaxed

CIF file:
```
data_Y2AlMoC6
_space_group_name_H-M_alt 'R -3 m'
_space_group_IT_number 166
_space_group_name_Hall '-R 3 2"'
_cell_length_a 5.1770
_cell_length_b 5.1770
_cell_length_c 30.7071
_cell_angle_alpha 90.00
_cell_angle_beta 90.00
_cell_angle_gamma 120.00
loop_
_atom_site_label
_atom_site_type_symbol
_atom_site_fract_x
_atom_site_fract_y
_atom_site_fract_z
Y1 Y 0.0000 0.0000 0.1102
Y2 Y 0.0000 0.0000 0.3052
Al1 Al 0.0000 0.0000 0.4190
Mo1 Mo 0.0000 0.0000 0.0000
Mo2 Mo 0.0000 0.0000 0.5000
C1 C 0.0110 0.5055 0.2886
C2 C 0.0957 0.1915 0.1970
```

Output
E_tot	-7.78	eV per atom



Values of V, in order: 818; 687; 163; 713, all in Å³/cell.